[1]
The following is a DFT calculation (PBE-GGA) of a relaxed structure of MgGaN2.

- raw formation energy (eV/atom) = 0.606
- crystal system = cubic
- M_tot (μB per atom) = 0.0000
- energy above the most stable polymorph in this dataset (meV per atom) = 348

a = 3.8332 Å, b = 3.8332 Å, c = 3.8332 Å
α = 60.00°, β = 60.00°, γ = 60.00°
Fractional positions:
N 0.2500 0.2500 0.2500
N 0.7500 0.7500 0.7500
Ga 0.5000 0.5000 0.5000
Mg 0.0000 0.0000 0.0000



[2]
The following is a DFT calculation (PBE-GGA) of a relaxed structure of MgTiGa2Re.

- crystal system = tetragonal
- M_tot (μB per atom) = 0.0000
- E (eV per atom) = -5.22

a = 4.9031 Å, b = 4.7267 Å, c = 4.9031 Å
α = 90.00°, β = 90.00°, γ = 90.00°
Fractional positions:
Ti 0.0000 0.5000 0.0000
Ga 0.5000 0.0000 0.0000
Ga 0.0000 0.0000 0.5000
Mg 0.5000 0.5000 0.5000
Re 0.0000 0.0000 0.0000



[3]
The following is a DFT calculation (PBE-GGA) of a relaxed structure of PmNd2ScAs4.

- crystal system = monoclinic
- M_tot (μB per atom) = 0.0000
- E (eV per atom) = -6.35

a = 4.1821 Å, b = 7.2260 Å, c = 7.2235 Å
α = 109.50°, β = 90.00°, γ = 90.00°
Fractional positions:
As 0.5000 0.2351 0.2338
As 0.5000 0.7649 0.7662
As 0.0000 0.2436 0.7592
As 0.0000 0.7564 0.2408
Sc 0.0000 0.0000 0.0000
Nd 0.5000 0.0000 0.5000
Nd 0.0000 0.5000 0.5000
Pm 0.5000 0.5000 0.0000



Please write out number 1 again, unchanged.
The following is a DFT calculation (PBE-GGA) of a relaxed structure of MgGaN2.

- raw formation energy (eV/atom) = 0.606
- crystal system = cubic
- M_tot (μB per atom) = 0.0000
- energy above the most stable polymorph in this dataset (meV per atom) = 348

a = 3.8332 Å, b = 3.8332 Å, c = 3.8332 Å
α = 60.00°, β = 60.00°, γ = 60.00°
Fractional positions:
N 0.2500 0.2500 0.2500
N 0.7500 0.7500 0.7500
Ga 0.5000 0.5000 0.5000
Mg 0.0000 0.0000 0.0000



- What is the formula in the third record?
  PmNd2ScAs4